DFT (PBE+U) results for DyGa2WO8 after structural relaxation.

As for the total magnetic moment: 1.2 μB/cell. The energy comes out at -6.852 eV per atom.

Cell: 6.647 6.663 6.445 Å, 90.00 90.00 90.00°
Space group Cmmm (No. 65)
Asymmetric unit:
Dy (0.000, 0.000, 0.000) (multiplicity 2)
Ga (0.000, 0.500, 0.258) (multiplicity 4)
W (0.000, 0.000, 0.500) (multiplicity 2)
O (0.000, 0.298, 0.500) (multiplicity 4)
O (0.000, 0.328, 0.000) (multiplicity 4)
O (0.200, 0.000, 0.283) (multiplicity 8)